An optimized crystal structure of Pu2Be4GaPt3, computed with PBE.

Uncorrected energy ... -7.033 eV/atom
Magnetic moment ... 1.0918 μB/atom
E_form ... -0.56 eV per atom

abc: 3.991 3.991 9.808
angles: 90.00 90.00 90.00
Space group P-4m2 (No. 115)
One atom of each set of equivalent atoms:
Pu1 0.000 0.500 0.248 (multiplicity 2)
Be1 0.000 0.000 0.000 (multiplicity 1)
Be2 0.000 0.500 0.634 (multiplicity 2)
Be3 0.500 0.500 0.000 (multiplicity 1)
Ga1 0.000 0.000 0.500 (multiplicity 1)
Pt1 0.000 0.500 0.876 (multiplicity 2)
Pt2 0.500 0.500 0.500 (multiplicity 1)